{
  "formula": "TlSiHg2",
  "functional": "PBE",
  "state": "optimized geometry",
  "lattice": [[-3.024, -1.028, 3.085], [-1.967, -0.846, -2.210], [2.655, -6.930, 0.294]],
  "species": ["Hg", "Hg", "Si", "Tl"],
  "frac_coords": [[0.000, 0.249, 0.027], [0.000, 0.251, 0.473], [0.500, 0.250, 0.250], [0.500, 0.750, 0.750]],
  "raw_formation_energy_ev_per_fu": 1.2,
  "mass_density_g_cm3": 10.37,
  "dos_ef_per_ev_atom": 0.42
}

---

{
  "formula": "Th3Fe3Pb",
  "functional": "PBE",
  "state": "optimized geometry",
  "lattice": [[-2.151, 3.035, 0.441], [-7.077, -4.174, -5.788], [-0.098, -1.512, 9.935]],
  "species": ["Th", "Th", "Th", "Th", "Th", "Th", "Fe", "Fe", "Fe", "Fe", "Fe", "Fe", "Pb", "Pb"],
  "frac_coords": [[0.750, 0.366, 0.328], [0.750, 0.962, 0.634], [0.750, 0.672, 0.038], [0.250, 0.634, 0.672], [0.250, 0.038, 0.366], [0.250, 0.328, 0.962], [0.750, 0.015, 0.156], [0.750, 0.141, 0.985], [0.750, 0.844, 0.859], [0.250, 0.985, 0.844], [0.250, 0.859, 0.015], [0.250, 0.156, 0.141], [0.750, 0.333, 0.667], [0.250, 0.667, 0.333]],
  "mass_density_g_cm3": 10.85,
  "dos_ef_per_ev_atom": 1.04,
  "energy_ev_per_atom": -7.4529
}

---

{
  "formula": "Li2Ac2HoIn5",
  "functional": "PBE",
  "state": "optimized geometry",
  "lattice": [[4.647, 0.000, 0.000], [0.000, 10.664, 0.000], [0.000, 0.000, 10.664]],
  "species": ["Li", "Li", "Li", "Li", "Ac", "Ac", "Ac", "Ac", "Ho", "Ho", "In", "In", "In", "In", "In", "In", "In", "In", "In", "In"],
  "frac_coords": [[0.000, 0.112, 0.612], [0.000, 0.888, 0.388], [0.000, 0.612, 0.888], [0.000, 0.388, 0.112], [0.000, 0.682, 0.182], [0.000, 0.318, 0.818], [0.000, 0.182, 0.318], [0.000, 0.818, 0.682], [0.000, 0.000, 0.000], [0.000, 0.500, 0.500], [0.500, 0.210, 0.061], [0.500, 0.790, 0.939], [0.500, 0.061, 0.790], [0.500, 0.710, 0.439], [0.500, 0.939, 0.210], [0.500, 0.290, 0.561], [0.500, 0.561, 0.710], [0.500, 0.439, 0.290], [0.500, 0.500, 0.000], [0.500, 0.000, 0.500]],
  "mass_density_g_cm3": 7.58,
  "dos_ef_per_ev_atom": 0.56,
  "energy_ev_per_atom": -3.4431
}